{"formula": "Rb2V2CdO6", "functional": "PBE with a Hubbard U", "state": "relaxed", "magnetic_moment_mub_per_cell": 0.1, "dft_energy_ev_per_fu": -65.81, "lattice": [[5.354, -3.091, 0.000], [5.354, 3.091, 0.000], [-3.570, 0.000, 6.004]], "species": ["Rb", "Rb", "V", "V", "Cd", "O", "O", "O", "O", "O", "O"], "frac_coords": [[0.217, 0.217, 0.154], [0.783, 0.783, 0.846], [0.427, 0.427, 0.779], [0.573, 0.573, 0.221], [0.000, 0.000, 0.500], [0.252, 0.252, 0.728], [0.253, 0.729, 0.732], [0.271, 0.747, 0.268], [0.729, 0.253, 0.732], [0.747, 0.271, 0.268], [0.748, 0.748, 0.272]]}